1.
A relaxed structure of Mg2ZrRe. Source: Alexandria via LeMat-Bulk, functional PBE.

Unit cell a=3.596 b=3.596 c=5.747 alpha=90.00 beta=90.00 gamma=90.00
Space group P4/mmm (No. 123)
One atom of each set of equivalent atoms:
1 Mg 0.000 0.000 0.225 [2 per cell]
2 Zr 0.500 0.500 0.500 [1 per cell]
3 Re 0.500 0.500 0.000 [1 per cell]

Calculated values
**Total energy**: -5.639 eV/atom
**Energy above the most stable polymorph in this dataset**: 29.53 kJ per mole of atoms
**Formation enthalpy at 0 K**: 408 meV per atom
**Crystal system**: tetragonal



2.
A relaxed structure of Na2HfTl2. Source: Alexandria via LeMat-Bulk, functional PBE.

Unit cell a=8.595 b=8.595 c=3.477 alpha=90.00 beta=90.00 gamma=90.00
Space group P4/mbm (No. 127)
One atom of each set of equivalent atoms:
1 Na 0.129 0.371 0.000 [4 per cell]
2 Hf 0.000 0.000 0.500 [2 per cell]
3 Tl 0.175 0.675 0.500 [4 per cell]

Calculated values
**Total energy**: -3.172 eV/atom
**Formation enthalpy at 0 K**: 293 meV per atom
**Crystal system**: tetragonal



Number 1 is which compound?
Mg2ZrRe



Among the records above, which one has the highest formation enthalpy at 0 K?
Mg2ZrRe



Among the records above, which one has the lowest total energy?
Mg2ZrRe